Computed, not measured: a relaxed BeReBr2 crystal at the GGA-PBE level of DFT.

Summary:
Crystal system: cubic
Distance to the lowest polymorph of the same formula (eV per formula unit): 6.09
Fermi-level density of states (states/eV/cell): 3.5
Formation energy from raw total energies (eV/f.u.): 6.702

a b c (Å): 4.782 4.782 4.782
angles (deg): 60.00 60.00 60.00
Positions (direct):
1 Be 0.000 0.000 0.000
2 Re 0.750 0.750 0.750
3 Br 0.250 0.250 0.250
4 Br 0.500 0.500 0.500